(1)
First-principles (PBE-GGA) data for a relaxed CeErCoIr crystal, as listed in the Alexandria database.

Cell lengths 4.8158, 4.8158, 4.8158 Å; angles 60.00, 60.00, 60.00 degrees
Closest atoms and distances in Å follow each position.
Atoms (fractional coordinates):
Co 0.0000 0.0000 0.0000  4 Ce 2.95, 4 Er 2.95
Ce 0.2500 0.2500 0.2500  4 Ir 2.95, 4 Co 2.95
Er 0.7500 0.7500 0.7500  4 Co 2.95, 4 Ir 2.95
Ir 0.5000 0.5000 0.5000  4 Er 2.95, 4 Ce 2.95

## Properties
- Electronic total energy: -28.3 eV per formula unit
- M_tot: 0.149 μB/cell
- SG: F-43m, No. 216


(2)
First-principles (PBE-GGA) data for a relaxed SrYRe2 crystal, as listed in the Alexandria database.

Cell lengths 4.8842, 4.8842, 4.8842 Å; angles 119.96, 119.96, 90.08 degrees
Closest atoms and distances in Å follow each position.
Atoms (fractional coordinates):
Re 0.0000 0.0000 0.0000  4 Re 2.99, 4 Y 2.99
Re 0.2500 0.7500 0.5000  4 Sr 2.99, 4 Re 2.99
Y 0.7500 0.2500 0.5000  4 Re 2.99, 4 Sr 2.99
Sr 0.5000 0.5000 0.0000  4 Y 2.99, 4 Re 2.99

## Properties
- Electronic total energy: -29.5 eV per formula unit
- Offset from the most stable computed form: 656 meV per atom
- M_tot: 0.000 μB/cell
- SG: I-4m2, No. 119


(3)
First-principles (PBE-GGA) data for a relaxed ErCdHgIr crystal, as listed in the Alexandria database.

Cell lengths 4.8759, 4.8759, 4.8759 Å; angles 60.00, 60.00, 60.00 degrees
Closest atoms and distances in Å follow each position.
Atoms (fractional coordinates):
Er 0.2500 0.2500 0.2500  4 Ir 2.99, 4 Hg 2.99
Hg 0.5000 0.5000 0.5000  4 Er 2.99, 4 Cd 2.99
Cd 0.7500 0.7500 0.7500  4 Ir 2.99, 4 Hg 2.99
Ir 0.0000 0.0000 0.0000  4 Cd 2.99, 4 Er 2.99

## Properties
- Electronic total energy: -15.7 eV per formula unit
- M_tot: 0.000 μB/cell
- SG: F-43m, No. 216